No. 1
CoCu | GGA-PBE | optimized geometry

Unit cell a=7.6372 b=7.6372 c=3.4231 alpha=90.00 beta=90.00 gamma=90.00
Last column: nearest neighbours and their distance in Å.
Positions (direct):
Co  0.0000  0.3422  0.0000  5 Co 2.41-2.42, 6 Cu 2.52-2.57
Co  0.0000  0.6578  0.0000  5 Co 2.41-2.42, 6 Cu 2.52-2.57
Co  0.1578  0.5000  0.5000  5 Co 2.41-2.42, 6 Cu 2.52-2.57
Co  0.3422  0.0000  0.0000  5 Co 2.41-2.42, 6 Cu 2.52-2.57
Co  0.5000  0.1578  0.5000  5 Co 2.41-2.42, 6 Cu 2.52-2.57
Co  0.5000  0.8422  0.5000  5 Co 2.41-2.42, 6 Cu 2.52-2.57
Co  0.6578  0.0000  0.0000  5 Co 2.41-2.42, 6 Cu 2.52-2.57
Co  0.8422  0.5000  0.5000  5 Co 2.41-2.42, 6 Cu 2.52-2.57
Cu  0.1635  0.1635  0.5000  4 Cu 2.50-2.53, 6 Co 2.52-2.57
Cu  0.1635  0.8365  0.5000  4 Cu 2.50-2.53, 6 Co 2.52-2.57
Cu  0.3365  0.3365  0.0000  4 Cu 2.50-2.53, 6 Co 2.52-2.57
Cu  0.3365  0.6635  0.0000  4 Cu 2.50-2.53, 6 Co 2.52-2.57
Cu  0.6635  0.3365  0.0000  4 Cu 2.50-2.53, 6 Co 2.52-2.57
Cu  0.6635  0.6635  0.0000  4 Cu 2.50-2.53, 6 Co 2.52-2.57
Cu  0.8365  0.1635  0.5000  4 Cu 2.50-2.53, 6 Co 2.52-2.57
Cu  0.8365  0.8365  0.5000  4 Cu 2.50-2.53, 6 Co 2.52-2.57

E_form in meV/atom: 302

No. 2
CoCu | GGA-PBE | optimized geometry

Unit cell a=9.5036 b=2.5401 c=5.9025 alpha=90.00 beta=105.09 gamma=90.00
Last column: nearest neighbours and their distance in Å.
Positions (direct):
Co  0.0000  0.0000  0.0000  5 Co 2.43-2.54, 7 Cu 2.51-2.64
Co  0.0455  0.0000  0.6012  5 Co 2.43-2.54, 7 Cu 2.53-2.59
Co  0.1463  0.5000  0.3300  6 Co 2.43-2.54, 6 Cu 2.52-2.61
Co  0.5000  0.5000  0.0000  5 Co 2.43-2.54, 7 Cu 2.51-2.64
Co  0.5455  0.5000  0.6012  5 Co 2.43-2.54, 7 Cu 2.53-2.59
Co  0.6463  0.0000  0.3300  6 Co 2.43-2.54, 6 Cu 2.52-2.61
Cu  0.2141  0.5000  0.9348  6 Cu 2.50-2.54, 6 Co 2.51-2.64
Cu  0.3258  0.0000  0.6607  5 Cu 2.47-2.54, 7 Co 2.54-2.59
Cu  0.3738  0.0000  0.2684  5 Cu 2.47-2.54, 7 Co 2.52-2.61
Cu  0.7141  0.0000  0.9348  6 Cu 2.50-2.54, 6 Co 2.51-2.64
Cu  0.8258  0.5000  0.6607  5 Cu 2.47-2.54, 7 Co 2.54-2.59
Cu  0.8738  0.5000  0.2684  5 Cu 2.47-2.54, 7 Co 2.52-2.61

E_form in meV/atom: 144

No. 3
CoCu | GGA-PBE | optimized geometry

Unit cell a=8.3437 b=2.4931 c=4.4379 alpha=90.00 beta=99.28 gamma=90.00
Last column: nearest neighbours and their distance in Å.
Positions (direct):
Co  0.1275  0.0000  0.3953  5 Co 2.45-2.49, 7 Cu 2.51-2.58
Co  0.3725  0.5000  0.6047  5 Co 2.45-2.49, 7 Cu 2.51-2.58
Co  0.6275  0.5000  0.3953  5 Co 2.45-2.49, 7 Cu 2.51-2.58
Co  0.8725  0.0000  0.6047  5 Co 2.45-2.49, 7 Cu 2.51-2.58
Cu  0.1240  0.5000  0.8850  5 Cu 2.45-2.52, 7 Co 2.51-2.58
Cu  0.3760  0.0000  0.1150  5 Cu 2.45-2.52, 7 Co 2.51-2.58
Cu  0.6240  0.0000  0.8850  5 Cu 2.45-2.52, 7 Co 2.51-2.58
Cu  0.8760  0.5000  0.1150  5 Cu 2.45-2.52, 7 Co 2.51-2.58

E_form in meV/atom: 127

No. 4
CoCu | GGA-PBE | optimized geometry

Unit cell a=4.3418 b=4.1644 c=5.0540 alpha=90.00 beta=90.00 gamma=90.00
Last column: nearest neighbours and their distance in Å.
Positions (direct):
Co  0.0743  0.2500  0.1260  8 Cu 2.49-2.56, 4 Co 2.51-2.52
Co  0.4257  0.7500  0.6260  8 Cu 2.49-2.56, 4 Co 2.51-2.52
Co  0.5743  0.2500  0.3740  8 Cu 2.49-2.56, 4 Co 2.51-2.52
Co  0.9257  0.7500  0.8740  8 Cu 2.49-2.56, 4 Co 2.51-2.52
Cu  0.0814  0.2500  0.6258  8 Co 2.49-2.56, 4 Cu 2.51-2.54
Cu  0.4186  0.7500  0.1258  8 Co 2.49-2.56, 4 Cu 2.51-2.54
Cu  0.5814  0.2500  0.8742  8 Co 2.49-2.56, 4 Cu 2.51-2.54
Cu  0.9186  0.7500  0.3742  8 Co 2.49-2.56, 4 Cu 2.51-2.54

E_form in meV/atom: 155

| no. | uncorrected energy (eV per cell) |
| --- | --- |
| 1 | -84.8 |
| 2 | -65.5 |
| 3 | -43.8 |
| 4 | -43.6 |